## 1
The following is a DFT calculation (PBE) of LiYFe3 after structural relaxation.

a = 4.856 Å, b = 4.856 Å, c = 4.856 Å
α = 90.00°, β = 90.00°, γ = 90.00°
Fractional positions:
Li 0.000 0.000 0.000
Y 0.500 0.500 0.500
Fe 0.000 0.500 0.500
Fe 0.500 0.000 0.500
Fe 0.500 0.500 0.000

Calculated values
- Crystal system: cubic
- Magnetic moment: 7.13 μB per formula unit
- SG: Pm-3m (221)
- Density of states at the Fermi level: 1.936 states/eV per atom

***

## 2
The following is a DFT calculation (PBE) of LiYFe3 after structural relaxation.

a = 4.243 Å, b = 4.243 Å, c = 4.243 Å
α = 90.00°, β = 90.00°, γ = 90.00°
Fractional positions:
Li 0.000 0.000 0.000
Y 0.500 0.500 0.500
Fe 0.000 0.000 0.500
Fe 0.000 0.500 0.000
Fe 0.500 0.000 0.000

Calculated values
- Crystal system: cubic
- Magnetic moment: 5.95 μB per formula unit
- SG: Pm-3m (221)
- Density of states at the Fermi level: 1.119 states/eV per atom

***

Quick look at relative energies in meV per atom: 1 945; 2 0.

***

## 1
The following is a DFT calculation (PBE) of LiZrFe after structural relaxation.

a = 4.410 Å, b = 4.410 Å, c = 2.816 Å
α = 90.00°, β = 90.00°, γ = 120.00°
Fractional positions:
Li 0.000 0.000 0.000
Zr 0.667 0.333 0.501
Fe 0.333 0.667 0.002

Calculated values
- Crystal system: trigonal
- Magnetic moment: 1.61 μB per formula unit
- SG: P3m1 (156)
- Density of states at the Fermi level: 1.250 states/eV per atom

***

## 2
The following is a DFT calculation (PBE) of LiZrFe after structural relaxation.

a = 3.301 Å, b = 3.301 Å, c = 8.772 Å
α = 90.00°, β = 90.00°, γ = 90.00°
Fractional positions:
Li 0.000 0.000 0.000
Li 0.500 0.500 0.500
Zr 0.000 0.000 0.696
Zr 0.500 0.500 0.196
Fe 0.000 0.000 0.346
Fe 0.500 0.500 0.846

Calculated values
- Crystal system: tetragonal
- Magnetic moment: 1.31 μB per formula unit
- SG: I4mm (107)
- Density of states at the Fermi level: 0.813 states/eV per atom

***

Quick look at relative energies in meV per atom: 1 76; 2 0.

***

## 1
The following is a DFT calculation (PBE) of LiZrFe after structural relaxation.

a = 2.859 Å, b = 2.859 Å, c = 12.708 Å
α = 90.00°, β = 90.00°, γ = 90.00°
Fractional positions:
Li 0.000 0.000 0.000
Li 0.500 0.500 0.500
Zr 0.000 0.000 0.297
Zr 0.500 0.500 0.797
Fe 0.000 0.000 0.644
Fe 0.500 0.500 0.144

Calculated values
- Crystal system: tetragonal
- Magnetic moment: 2.60 μB per formula unit
- SG: I4mm (107)
- Density of states at the Fermi level: 0.937 states/eV per atom

***

## 2
The following is a DFT calculation (PBE) of LiZrFe after structural relaxation.

a = 6.010 Å, b = 6.010 Å, c = 6.010 Å
α = 90.00°, β = 90.00°, γ = 90.00°
Fractional positions:
Li 0.000 0.000 0.000
Li 0.000 0.500 0.500
Li 0.500 0.000 0.500
Li 0.500 0.500 0.000
Zr 0.000 0.000 0.500
Zr 0.000 0.500 0.000
Zr 0.500 0.000 0.000
Zr 0.500 0.500 0.500
Fe 0.250 0.250 0.750
Fe 0.250 0.750 0.250
Fe 0.750 0.250 0.250
Fe 0.750 0.750 0.750

Calculated values
- Crystal system: cubic
- Magnetic moment: 0.86 μB per formula unit
- SG: F-43m (216)
- Density of states at the Fermi level: 1.325 states/eV per atom

***

Quick look at relative energies in meV per atom: 1 0; 2 286.